Entry 1:
# Tb3Y6Ho2Tm (PBE-GGA, relaxed)
# Raw total energy: -5.503 eV per atom
# Magnetic moment: 0.000 μB per atom
# Energy of formation from the pure elements: 0.022 eV per atom
# ρ: 6.58 g cm⁻³
# DOS at the Fermi energy: 34.78 states/eV per cell
data_Tb3Y6Ho2Tm
_chemical_formula_sum 'Tb6 Y12 Ho4 Tm2'
_cell_length_a 6.158
_cell_length_b 10.655
_cell_length_c 11.780
_cell_angle_alpha 90.00
_cell_angle_beta 99.99
_cell_angle_gamma 90.00
_space_group_name_H-M_alt 'C 1 2/m 1'
_space_group_IT_number 12
_space_group_name_Hall '-C 2y'
loop_
_atom_site_label
_atom_site_fract_x
_atom_site_fract_y
_atom_site_fract_z
Tb1 0.000 0.000 0.000
Tb2 0.000 0.333 0.000
Y1 0.249 0.333 0.749
Y2 0.250 0.000 0.749
Ho1 0.000 0.167 0.500
Tm1 0.000 0.500 0.500

Entry 2:
# Tb2Y4Ho2Tm (PBE-GGA, relaxed)
# Raw total energy: -5.412 eV per atom
# Magnetic moment: 0.000 μB per atom
# Energy of formation from the pure elements: 0.004 eV per atom
# ρ: 6.82 g cm⁻³
# DOS at the Fermi energy: 25.37 states/eV per cell
data_Tb2Y4Ho2Tm
_chemical_formula_sum 'Tb4 Y8 Ho4 Tm2'
_cell_length_a 18.617
_cell_length_b 3.582
_cell_length_c 9.512
_cell_angle_alpha 90.00
_cell_angle_beta 115.79
_cell_angle_gamma 90.00
_space_group_name_H-M_alt 'C 1 2/m 1'
_space_group_IT_number 12
_space_group_name_Hall '-C 2y'
loop_
_atom_site_label
_atom_site_fract_x
_atom_site_fract_y
_atom_site_fract_z
Tb1 0.149 0.000 0.167
Y1 0.019 0.500 0.833
Y2 0.185 0.000 0.832
Ho1 0.166 0.500 0.499
Tm1 0.000 0.000 0.500

Entry 3:
# TbY6HoTm2 (PBE-GGA, relaxed)
# Raw total energy: -5.573 eV per atom
# Magnetic moment: 0.000 μB per atom
# Energy of formation from the pure elements: 0.121 eV per atom
# ρ: 6.17 g cm⁻³
# DOS at the Fermi energy: 63.03 states/eV per cell
data_TbY6HoTm2
_chemical_formula_sum 'Tb4 Y24 Ho4 Tm8'
_cell_length_a 9.096
_cell_length_b 14.935
_cell_length_c 9.555
_cell_angle_alpha 90.00
_cell_angle_beta 97.80
_cell_angle_gamma 90.00
_space_group_name_H-M_alt 'C 1 2/c 1'
_space_group_IT_number 15
_space_group_name_Hall '-C 2yc'
loop_
_atom_site_label
_atom_site_fract_x
_atom_site_fract_y
_atom_site_fract_z
Tb1 0.000 0.025 0.250
Y1 0.062 0.183 0.944
Y2 0.100 0.393 0.118
Y3 0.208 0.224 0.317
Ho1 0.000 0.409 0.750
Tm1 0.248 0.051 0.547

Entry 4:
# Tb2Y2HoTm2 (PBE-GGA, relaxed)
# Raw total energy: -4.966 eV per atom
# Magnetic moment: 0.000 μB per atom
# Energy of formation from the pure elements: 0.135 eV per atom
# ρ: 7.43 g cm⁻³
# DOS at the Fermi energy: 50.89 states/eV per cell
data_Tb2Y2HoTm2
_chemical_formula_sum 'Tb6 Y6 Ho3 Tm6'
_cell_length_a 5.6362
_cell_length_b 5.6362
_cell_length_c 24.3215
_cell_angle_alpha 90.00
_cell_angle_beta 90.00
_cell_angle_gamma 120.00
_space_group_name_H-M_alt 'R -3 m'
_space_group_IT_number 166
_space_group_name_Hall '-R 3 2"'
loop_
_atom_site_label
_atom_site_fract_x
_atom_site_fract_y
_atom_site_fract_z
Tb1 0.0000 0.0000 0.2142
Y1 0.0000 0.0000 0.3587
Ho1 0.0000 0.0000 0.5000
Tm1 0.0000 0.0000 0.0706

Entry 5:
# Tb2YHo5Tm (PBE-GGA, relaxed)
# Raw total energy: -4.488 eV per atom
# Magnetic moment: 0.000 μB per atom
# Energy of formation from the pure elements: 0.299 eV per atom
# ρ: 8.12 g cm⁻³
# DOS at the Fermi energy: 49.63 states/eV per cell
data_Tb2YHo5Tm
_chemical_formula_sum 'Tb8 Y4 Ho20 Tm4'
_cell_length_a 8.757
_cell_length_b 8.757
_cell_length_c 14.938
_cell_angle_alpha 90.00
_cell_angle_beta 90.00
_cell_angle_gamma 90.00
_space_group_name_H-M_alt 'I 4/m c m'
_space_group_IT_number 140
_space_group_name_Hall '-I 4 2c'
loop_
_atom_site_label
_atom_site_fract_x
_atom_site_fract_y
_atom_site_fract_z
Tb1 0.115 0.385 0.000
Y1 0.000 0.000 0.250
Ho1 0.000 0.000 0.000
Ho2 0.207 0.293 0.365
Tm1 0.000 0.500 0.250

Entry 6:
# TbY2Ho6Tm3 (PBE-GGA, relaxed)
# Raw total energy: -4.847 eV per atom
# Magnetic moment: 0.000 μB per atom
# Energy of formation from the pure elements: 0.023 eV per atom
# ρ: 8.20 g cm⁻³
# DOS at the Fermi energy: 33.87 states/eV per cell
data_TbY2Ho6Tm3
_chemical_formula_sum 'Tb2 Y4 Ho12 Tm6'
_cell_length_a 6.109
_cell_length_b 10.567
_cell_length_c 11.683
_cell_angle_alpha 90.00
_cell_angle_beta 100.00
_cell_angle_gamma 90.00
_space_group_name_H-M_alt 'C 1 2/m 1'
_space_group_IT_number 12
_space_group_name_Hall '-C 2y'
loop_
_atom_site_label
_atom_site_fract_x
_atom_site_fract_y
_atom_site_fract_z
Tb1 0.000 0.000 0.000
Y1 0.000 0.333 0.000
Ho1 0.248 0.000 0.748
Ho2 0.249 0.334 0.748
Tm1 0.000 0.167 0.500
Tm2 0.000 0.500 0.500

Entry 7:
# TbYHoTm3 (PBE-GGA, relaxed)
# Raw total energy: -4.721 eV per atom
# Magnetic moment: 0.000 μB per atom
# Energy of formation from the pure elements: 0.127 eV per atom
# ρ: 8.15 g cm⁻³
# DOS at the Fermi energy: 47.78 states/eV per cell
data_TbYHoTm3
_chemical_formula_sum 'Tb4 Y4 Ho4 Tm12'
_cell_length_a 5.663
_cell_length_b 11.795
_cell_length_c 11.223
_cell_angle_alpha 90.00
_cell_angle_beta 90.00
_cell_angle_gamma 90.00
_space_group_name_H-M_alt 'C m c m'
_space_group_IT_number 63
_space_group_name_Hall '-C 2c 2'
loop_
_atom_site_label
_atom_site_fract_x
_atom_site_fract_y
_atom_site_fract_z
Tb1 0.000 0.021 0.250
Y1 0.000 0.328 0.250
Ho1 0.000 0.500 0.000
Tm1 0.000 0.171 0.521
Tm2 0.000 0.349 0.750

Entry 8:
# TbYHoTm (PBE-GGA, relaxed)
# Raw total energy: -5.012 eV per atom
# Magnetic moment: 0.000 μB per atom
# Distance to the lowest polymorph of the same formula: 0.000 kcal/mol of atoms
# Energy of formation from the pure elements: 0.024 eV per atom
# ρ: 7.72 g cm⁻³
# DOS at the Fermi energy: 11.81 states/eV per cell
data_TbYHoTm
_chemical_formula_sum 'Tb2 Y2 Ho2 Tm2'
_cell_length_a 5.001
_cell_length_b 5.001
_cell_length_c 9.999
_cell_angle_alpha 90.00
_cell_angle_beta 90.00
_cell_angle_gamma 90.00
_space_group_name_H-M_alt 'I -4 m 2'
_space_group_IT_number 119
_space_group_name_Hall 'I -4 -2'
loop_
_atom_site_label
_atom_site_fract_x
_atom_site_fract_y
_atom_site_fract_z
Tb1 0.000 0.000 0.000
Y1 0.000 0.500 0.750
Ho1 0.000 0.500 0.250
Tm1 0.000 0.000 0.500

Entry 9:
# Tb6YHo2Tm (PBE-GGA, relaxed)
# Raw total energy: -4.671 eV per atom
# Magnetic moment: 0.000 μB per atom
# Energy of formation from the pure elements: 0.116 eV per atom
# ρ: 7.98 g cm⁻³
# DOS at the Fermi energy: 53.54 states/eV per cell
data_Tb6YHo2Tm
_chemical_formula_sum 'Tb24 Y4 Ho8 Tm4'
_cell_length_a 9.026
_cell_length_b 15.065
_cell_length_c 9.518
_cell_angle_alpha 90.00
_cell_angle_beta 97.35
_cell_angle_gamma 90.00
_space_group_name_H-M_alt 'C 1 2/c 1'
_space_group_IT_number 15
_space_group_name_Hall '-C 2yc'
loop_
_atom_site_label
_atom_site_fract_x
_atom_site_fract_y
_atom_site_fract_z
Tb1 0.060 0.186 0.445
Tb2 0.104 0.393 0.620
Tb3 0.207 0.224 0.814
Y1 0.000 0.023 0.750
Ho1 0.248 0.446 0.956
Tm1 0.000 0.410 0.250

Entry 10:
# Tb2YHo6Tm (PBE-GGA, relaxed)
# Raw total energy: -4.650 eV per atom
# Magnetic moment: 0.000 μB per atom
# Energy of formation from the pure elements: 0.116 eV per atom
# ρ: 8.20 g cm⁻³
# DOS at the Fermi energy: 53.01 states/eV per cell
data_Tb2YHo6Tm
_chemical_formula_sum 'Tb8 Y4 Ho24 Tm4'
_cell_length_a 8.965
_cell_length_b 14.999
_cell_length_c 9.511
_cell_angle_alpha 90.00
_cell_angle_beta 97.74
_cell_angle_gamma 90.00
_space_group_name_H-M_alt 'C 1 2/c 1'
_space_group_IT_number 15
_space_group_name_Hall '-C 2yc'
loop_
_atom_site_label
_atom_site_fract_x
_atom_site_fract_y
_atom_site_fract_z
Tb1 0.249 0.054 0.456
Y1 0.000 0.479 0.250
Ho1 0.061 0.311 0.944
Ho2 0.105 0.106 0.119
Ho3 0.205 0.276 0.314
Tm1 0.000 0.091 0.750

Entry 11:
# Tb2Y5HoTm (PBE-GGA, relaxed)
# Raw total energy: -5.338 eV per atom
# Magnetic moment: 0.000 μB per atom
# Energy of formation from the pure elements: 0.288 eV per atom
# ρ: 6.31 g cm⁻³
# DOS at the Fermi energy: 51.42 states/eV per cell
data_Tb2Y5HoTm
_chemical_formula_sum 'Tb8 Y20 Ho4 Tm4'
_cell_length_a 8.617
_cell_length_b 8.617
_cell_length_c 15.549
_cell_angle_alpha 90.00
_cell_angle_beta 90.00
_cell_angle_gamma 90.00
_space_group_name_H-M_alt 'I 4/m c m'
_space_group_IT_number 140
_space_group_name_Hall '-I 4 2c'
loop_
_atom_site_label
_atom_site_fract_x
_atom_site_fract_y
_atom_site_fract_z
Tb1 0.117 0.383 0.000
Y1 0.000 0.000 0.000
Y2 0.208 0.292 0.362
Ho1 0.000 0.500 0.250
Tm1 0.000 0.000 0.250

Entry 12:
# Tb3YHoTm (PBE-GGA, relaxed)
# Raw total energy: -4.695 eV per atom
# Magnetic moment: 0.000 μB per atom
# Energy of formation from the pure elements: 0.205 eV per atom
# ρ: 7.49 g cm⁻³
# DOS at the Fermi energy: 40.42 states/eV per cell
data_Tb3YHoTm
_chemical_formula_sum 'Tb12 Y4 Ho4 Tm4'
_cell_length_a 22.075
_cell_length_b 5.422
_cell_length_c 6.741
_cell_angle_alpha 90.00
_cell_angle_beta 98.65
_cell_angle_gamma 90.00
_space_group_name_H-M_alt 'C 1 2/m 1'
_space_group_IT_number 12
_space_group_name_Hall '-C 2y'
loop_
_atom_site_label
_atom_site_fract_x
_atom_site_fract_y
_atom_site_fract_z
Tb1 0.024 0.000 0.272
Tb2 0.168 0.500 0.271
Tb3 0.225 0.500 0.809
Y1 0.131 0.000 0.966
Ho1 0.166 0.000 0.525
Tm1 0.073 0.500 0.655

Entry 13:
# Tb2Y2Ho2Tm (PBE-GGA, relaxed)
# Raw total energy: -4.980 eV per atom
# Magnetic moment: 0.002 μB per atom
# Energy of formation from the pure elements: 0.136 eV per atom
# ρ: 7.37 g cm⁻³
# DOS at the Fermi energy: 51.54 states/eV per cell
data_Tb2Y2Ho2Tm
_chemical_formula_sum 'Tb6 Y6 Ho6 Tm3'
_cell_length_a 5.6440
_cell_length_b 5.6440
_cell_length_c 24.3532
_cell_angle_alpha 90.00
_cell_angle_beta 90.00
_cell_angle_gamma 120.00
_space_group_name_H-M_alt 'R -3 m'
_space_group_IT_number 166
_space_group_name_Hall '-R 3 2"'
loop_
_atom_site_label
_atom_site_fract_x
_atom_site_fract_y
_atom_site_fract_z
Tb1 0.0000 0.0000 0.2129
Y1 0.0000 0.0000 0.3582
Ho1 0.0000 0.0000 0.0706
Tm1 0.0000 0.0000 0.5000

Entry 14:
# TbY2HoTm (PBE-GGA, relaxed)
# Raw total energy: -4.918 eV per atom
# Magnetic moment: 0.000 μB per atom
# Energy of formation from the pure elements: 0.403 eV per atom
# ρ: 6.52 g cm⁻³
# DOS at the Fermi energy: 25.72 states/eV per cell
data_TbY2HoTm
_chemical_formula_sum 'Tb4 Y8 Ho4 Tm4'
_cell_length_a 8.339
_cell_length_b 11.363
_cell_length_c 7.212
_cell_angle_alpha 90.00
_cell_angle_beta 90.00
_cell_angle_gamma 90.00
_space_group_name_H-M_alt 'C m c m'
_space_group_IT_number 63
_space_group_name_Hall '-C 2c 2'
loop_
_atom_site_label
_atom_site_fract_x
_atom_site_fract_y
_atom_site_fract_z
Tb1 0.000 0.227 0.250
Y1 0.192 0.000 0.000
Ho1 0.000 0.225 0.750
Tm1 0.000 0.500 0.250

Entry 15:
# Tb2Y4HoTm2 (PBE-GGA, relaxed)
# Raw total energy: -5.398 eV per atom
# Magnetic moment: 0.000 μB per atom
# Energy of formation from the pure elements: 0.007 eV per atom
# ρ: 6.86 g cm⁻³
# DOS at the Fermi energy: 25.71 states/eV per cell
data_Tb2Y4HoTm2
_chemical_formula_sum 'Tb4 Y8 Ho2 Tm4'
_cell_length_a 18.605
_cell_length_b 3.580
_cell_length_c 9.496
_cell_angle_alpha 90.00
_cell_angle_beta 115.82
_cell_angle_gamma 90.00
_space_group_name_H-M_alt 'C 1 2/m 1'
_space_group_IT_number 12
_space_group_name_Hall '-C 2y'
loop_
_atom_site_label
_atom_site_fract_x
_atom_site_fract_y
_atom_site_fract_z
Tb1 0.149 0.000 0.168
Y1 0.018 0.500 0.833
Y2 0.185 0.000 0.832
Ho1 0.000 0.000 0.500
Tm1 0.167 0.500 0.499

Entry 16:
# Tb3Y2HoTm6 (PBE-GGA, relaxed)
# Raw total energy: -4.828 eV per atom
# Magnetic moment: 0.000 μB per atom
# Energy of formation from the pure elements: 0.024 eV per atom
# ρ: 8.22 g cm⁻³
# DOS at the Fermi energy: 34.20 states/eV per cell
data_Tb3Y2HoTm6
_chemical_formula_sum 'Tb6 Y4 Ho2 Tm12'
_cell_length_a 6.107
_cell_length_b 10.565
_cell_length_c 11.660
_cell_angle_alpha 90.00
_cell_angle_beta 100.03
_cell_angle_gamma 90.00
_space_group_name_H-M_alt 'C 1 2/m 1'
_space_group_IT_number 12
_space_group_name_Hall '-C 2y'
loop_
_atom_site_label
_atom_site_fract_x
_atom_site_fract_y
_atom_site_fract_z
Tb1 0.000 0.000 0.000
Tb2 0.000 0.333 0.000
Y1 0.000 0.167 0.500
Ho1 0.000 0.500 0.500
Tm1 0.249 0.500 0.250
Tm2 0.250 0.166 0.250

Entry 17:
# Tb3YHo6Tm2 (PBE-GGA, relaxed)
# Raw total energy: -4.710 eV per atom
# Magnetic moment: 0.000 μB per atom
# Energy of formation from the pure elements: 0.020 eV per atom
# ρ: 8.42 g cm⁻³
# DOS at the Fermi energy: 33.01 states/eV per cell
data_Tb3YHo6Tm2
_chemical_formula_sum 'Tb6 Y2 Ho12 Tm4'
_cell_length_a 6.120
_cell_length_b 10.586
_cell_length_c 11.702
_cell_angle_alpha 90.00
_cell_angle_beta 99.99
_cell_angle_gamma 90.00
_space_group_name_H-M_alt 'C 1 2/m 1'
_space_group_IT_number 12
_space_group_name_Hall '-C 2y'
loop_
_atom_site_label
_atom_site_fract_x
_atom_site_fract_y
_atom_site_fract_z
Tb1 0.000 0.000 0.000
Tb2 0.000 0.333 0.000
Y1 0.000 0.500 0.500
Ho1 0.249 0.000 0.749
Ho2 0.250 0.167 0.251
Tm1 0.000 0.167 0.500

Entry 18:
# TbY2HoTm6 (PBE-GGA, relaxed)
# Raw total energy: -4.768 eV per atom
# Magnetic moment: 0.000 μB per atom
# Energy of formation from the pure elements: 0.128 eV per atom
# ρ: 8.05 g cm⁻³
# DOS at the Fermi energy: 57.32 states/eV per cell
data_TbY2HoTm6
_chemical_formula_sum 'Tb4 Y8 Ho4 Tm24'
_cell_length_a 8.989
_cell_length_b 14.878
_cell_length_c 9.421
_cell_angle_alpha 90.00
_cell_angle_beta 97.03
_cell_angle_gamma 90.00
_space_group_name_H-M_alt 'C 1 2/c 1'
_space_group_IT_number 15
_space_group_name_Hall '-C 2yc'
loop_
_atom_site_label
_atom_site_fract_x
_atom_site_fract_y
_atom_site_fract_z
Tb1 0.000 0.025 0.250
Y1 0.249 0.052 0.545
Ho1 0.000 0.409 0.750
Tm1 0.062 0.187 0.942
Tm2 0.101 0.391 0.118
Tm3 0.205 0.225 0.315

Entry 19:
# Tb2Y6Ho3Tm (PBE-GGA, relaxed)
# Raw total energy: -5.498 eV per atom
# Magnetic moment: 0.000 μB per atom
# Energy of formation from the pure elements: 0.023 eV per atom
# ρ: 6.63 g cm⁻³
# DOS at the Fermi energy: 34.65 states/eV per cell
data_Tb2Y6Ho3Tm
_chemical_formula_sum 'Tb4 Y12 Ho6 Tm2'
_cell_length_a 6.151
_cell_length_b 10.642
_cell_length_c 11.775
_cell_angle_alpha 90.00
_cell_angle_beta 99.98
_cell_angle_gamma 90.00
_space_group_name_H-M_alt 'C 1 2/m 1'
_space_group_IT_number 12
_space_group_name_Hall '-C 2y'
loop_
_atom_site_label
_atom_site_fract_x
_atom_site_fract_y
_atom_site_fract_z
Tb1 0.000 0.167 0.000
Y1 0.249 0.500 0.750
Y2 0.250 0.167 0.750
Ho1 0.000 0.000 0.500
Ho2 0.000 0.334 0.500
Tm1 0.000 0.500 0.000

Entry 20:
# Tb6YHo3Tm2 (PBE-GGA, relaxed)
# Raw total energy: -4.725 eV per atom
# Magnetic moment: 0.000 μB per atom
# Energy of formation from the pure elements: 0.018 eV per atom
# ρ: 8.28 g cm⁻³
# DOS at the Fermi energy: 32.05 states/eV per cell
data_Tb6YHo3Tm2
_chemical_formula_sum 'Tb12 Y2 Ho6 Tm4'
_cell_length_a 6.137
_cell_length_b 10.618
_cell_length_c 11.716
_cell_angle_alpha 90.00
_cell_angle_beta 100.00
_cell_angle_gamma 90.00
_space_group_name_H-M_alt 'C 1 2/m 1'
_space_group_IT_number 12
_space_group_name_Hall '-C 2y'
loop_
_atom_site_label
_atom_site_fract_x
_atom_site_fract_y
_atom_site_fract_z
Tb1 0.249 0.000 0.250
Tb2 0.249 0.167 0.750
Y1 0.000 0.500 0.000
Ho1 0.000 0.000 0.500
Ho2 0.000 0.333 0.500
Tm1 0.000 0.167 0.000